(1)
First-principles (PBE with a Hubbard U) data for a relaxed Ga2MoPbO6 crystal, as listed in the Alexandria database.

Values from the calculation:
* space-group type: C2/c

Structure (extended XYZ):
```
20
Lattice="6.4528 -0.0223 -0.0231 2.0386 6.9805 -1.1393 2.0386 -1.3973 6.9334" Properties=species:S:1:pos:R:3 pbc="T T T"
O 5.7365 0.0260 1.3639
O 6.0054 3.0375 3.9835
Ga 2.6032 2.6684 1.5603
Mo 6.8782 5.2476 0.4970
O 8.5674 1.4647 5.3095
O 1.9627 4.0962 0.4615
O 5.3410 5.2627 1.6721
Pb 3.6518 6.1306 -0.3316
Ga 4.7005 4.1118 3.0581
O 5.1891 0.2982 4.0989
Ga 5.8296 1.4492 2.7128
O 8.0200 4.1878 5.6828
O 7.7511 1.6815 2.5764
Pb 6.8782 -0.5697 6.1026
Mo 3.6518 0.3133 5.2740
O 2.7790 3.8794 3.1946
O 4.5247 2.5234 1.7874
Ga 7.9269 2.8925 4.2107
O 4.7936 5.5349 4.4071
O 2.5101 1.3732 0.0881
```

---

(2)
First-principles (PBE with a Hubbard U) data for a relaxed Ga2MoPbO8 crystal, as listed in the Alexandria database.

Values from the calculation:
* space-group type: Cmmm

Structure (extended XYZ):
```
12
Lattice="-4.0569 -1.2888 -1.9848 2.3737 -0.9560 -3.9372 0.9177 -5.9749 2.0037" Properties=species:S:1:pos:R:3 pbc="T T T"
O 1.8005 -5.6899 -1.9795
Ga -0.6191 -2.5709 -2.4753
O -0.5061 -0.6737 -1.7768
Mo 0.0000 0.0000 0.0000
O -2.0500 -5.8898 -0.8125
O -0.0794 -3.7044 -0.8891
O -0.6861 -4.5153 -3.0292
O -0.2595 -7.5459 -2.1416
Pb 0.4588 -2.9874 1.0018
Ga -0.1464 -5.6488 -1.4431
O -2.5660 -2.5298 -1.9389
O 1.2845 -2.3298 -3.1059
```

---

(3)
First-principles (PBE with a Hubbard U) data for a relaxed GaMoPbO6 crystal, as listed in the Alexandria database.

Values from the calculation:
* DOS at the Fermi energy: 0.307 states/eV/atom
* space-group type: P312

Structure (extended XYZ):
```
9
Lattice="5.2512 0.0000 -0.0001 2.6256 4.5477 0.0001 0.0000 -0.0001 4.9503" Properties=species:S:1:pos:R:3 pbc="T T T"
O 1.9609 0.0287 3.5475
O 1.6700 2.8349 3.5476
Mo 2.6255 1.5158 2.4751
Ga 5.2511 3.0317 2.4751
O 3.5811 2.8350 1.4027
O 4.2457 1.6838 3.5476
O 1.0053 1.6838 1.4027
Pb 5.2511 -0.0001 4.9502
O 3.2901 0.0288 1.4026
```

---

(4)
First-principles (PBE with a Hubbard U) data for a relaxed GaMoPdO2 crystal, as listed in the Alexandria database.

Values from the calculation:
* DOS at the Fermi energy: 0.505 states/eV/atom
* space-group type: P4/mmm

Structure (extended XYZ):
```
5
Lattice="3.9047 0.0000 0.0000 0.0000 4.8705 0.0000 0.0000 0.0000 3.9047" Properties=species:S:1:pos:R:3 pbc="T T T"
Ga 0.0000 0.0000 0.0000
O 0.0000 0.0000 1.9524
Mo 1.9524 2.4352 1.9524
Pd 0.0000 2.4352 0.0000
O 1.9524 0.0000 0.0000
```

---

(5)
First-principles (PBE with a Hubbard U) data for a relaxed RbGa2MoO6 crystal, as listed in the Alexandria database.

Values from the calculation:
* DOS at the Fermi energy: 0.000 states/eV/atom
* space-group type: C2/c

Structure (extended XYZ):
```
20
Lattice="-1.2692 -0.4375 -6.3524 6.8412 0.0580 -3.2034 -2.7390 -6.9943 -0.8036" Properties=species:S:1:pos:R:3 pbc="T T T"
O -0.0531 -3.3702 -7.4500
O -1.3818 -2.0965 -5.2529
O 1.2586 -0.4013 -2.5791
O -1.0457 -4.7066 -4.4984
Ga 0.8103 -5.1958 -7.6922
Ga 2.0228 -2.1780 -2.6673
O 2.8862 -4.0036 -2.9095
O 1.5745 -6.9725 -7.7804
Mo 3.8763 -1.7520 -7.4635
O 3.8787 -2.6672 -5.8611
O -0.9730 -5.9904 -7.9809
O 1.4192 -4.8351 -5.8772
Ga 2.8005 -3.9791 -4.8556
O 3.8060 -1.3834 -2.3786
O 4.2148 -5.2773 -5.1066
Mo -1.0432 -5.6218 -2.8960
Rb -2.7333 -6.6176 -5.8078
Rb 5.5664 -0.7562 -4.5517
O 1.4138 -2.5387 -4.4823
Ga 0.0326 -3.3947 -5.5040
```

---

(6)
First-principles (PBE with a Hubbard U) data for a relaxed RbGaMoO4 crystal, as listed in the Alexandria database.

Values from the calculation:
* DOS at the Fermi energy: 0.000 states/eV/atom
* space-group type: P2_1/m

Structure (extended XYZ):
```
14
Lattice="-1.4458 2.4327 -4.7805 5.0138 -1.2708 -2.1630 -1.5732 -8.1353 1.1330" Properties=species:S:1:pos:R:3 pbc="T T T"
Ga -0.9111 -3.7811 -3.5232
Ga 2.9058 -3.1923 -2.2873
O -1.0149 -5.3380 0.5564
O 1.3351 -5.9337 -0.4575
Rb 0.4903 -0.0593 -2.4614
O 3.0096 -1.6354 -6.3669
O -0.0786 -2.7188 -2.2176
O -0.8264 -5.2884 -2.4413
O 2.8211 -1.6849 -3.3693
O 0.6596 -1.0397 -5.3531
Mo 0.1082 -4.2120 -0.9074
Mo 1.8866 -2.7614 -4.9031
Rb 1.5044 -6.9141 -3.3492
O 2.0734 -4.2546 -3.5929
```

---

Summary of size of the total moment in μB/atom
0.200, 0.000, 0.000, 0.759, 0.100, 0.286
(order as listed above)
Summary of total energy in eV/atom
-6.175, -6.119, -6.258, -5.075, -6.067, -6.037
(order as listed above)